No. 1
A plane-wave DFT calculation with PBE was carried out for a relaxed La2ReSiBi crystal.

```
data_La2ReSiBi
_chemical_formula_sum 'La2 Re1 Si1 Bi1'
_space_group_name_H-M_alt 'P 1'
_space_group_IT_number 1
_space_group_name_Hall 'P 1'
_cell_length_a 5.681
_cell_length_b 4.544
_cell_length_c 5.681
_cell_angle_alpha 90.00
_cell_angle_beta 90.00
_cell_angle_gamma 90.00
loop_
_atom_site_label
_atom_site_type_symbol
_atom_site_fract_x
_atom_site_fract_y
_atom_site_fract_z
_atom_site_occupancy
Re1 Re 0.000 0.500 0.000 1
Si1 Si 0.000 0.000 0.000 1
Bi1 Bi 0.500 0.500 0.500 1
La1 La 0.000 0.000 0.500 1
La2 La 0.500 0.000 0.000 1
```

- formation energy from raw total energies (meV per atom) = -13
- space-group type = P4/mmm (123)
- energy (Ha/atom) = -0.233

No. 2
A plane-wave DFT calculation with PBE was carried out for a relaxed InAsW2 crystal.

```
data_InAsW2
_chemical_formula_sum 'In1 As1 W2'
_space_group_name_H-M_alt 'P 1'
_space_group_IT_number 1
_space_group_name_Hall 'P 1'
_cell_length_a 4.588
_cell_length_b 4.588
_cell_length_c 3.221
_cell_angle_alpha 90.00
_cell_angle_beta 90.00
_cell_angle_gamma 90.00
loop_
_atom_site_label
_atom_site_type_symbol
_atom_site_fract_x
_atom_site_fract_y
_atom_site_fract_z
_atom_site_occupancy
As1 As 0.500 0.000 0.500 1
W1 W 0.000 0.000 0.000 1
W2 W 0.500 0.500 0.000 1
In1 In 0.000 0.500 0.500 1
```

- calculated formation energy (eV per atom) = 0.7610
- space-group type = P4/mmm (123)
- energy (Ha/atom) = -0.278

No. 3
A plane-wave DFT calculation with PBE was carried out for a relaxed LuHN crystal.

```
data_LuHN
_chemical_formula_sum 'Lu4 H4 N4'
_space_group_name_H-M_alt 'P 1'
_space_group_IT_number 1
_space_group_name_Hall 'P 1'
_cell_length_a 4.300
_cell_length_b 4.300
_cell_length_c 8.467
_cell_angle_alpha 90.00
_cell_angle_beta 90.00
_cell_angle_gamma 90.86
loop_
_atom_site_label
_atom_site_type_symbol
_atom_site_fract_x
_atom_site_fract_y
_atom_site_fract_z
_atom_site_occupancy
H1 H 0.125 0.125 0.323 1
H2 H 0.625 0.625 0.177 1
H3 H 0.375 0.375 0.823 1
H4 H 0.875 0.875 0.677 1
Lu1 Lu 0.257 0.257 0.076 1
Lu2 Lu 0.243 0.243 0.576 1
Lu3 Lu 0.743 0.743 0.924 1
Lu4 Lu 0.757 0.757 0.424 1
N1 N 0.250 0.750 0.000 1
N2 N 0.750 0.250 0.000 1
N3 N 0.750 0.250 0.500 1
N4 N 0.250 0.750 0.500 1
```

- space-group type = Cmce (64)
- energy (Ha/atom) = -0.217

No. 4
A plane-wave DFT calculation with PBE was carried out for a relaxed Tb6DyAg crystal.

```
data_Tb6DyAg
_chemical_formula_sum 'Tb6 Dy1 Ag1'
_space_group_name_H-M_alt 'P 1'
_space_group_IT_number 1
_space_group_name_Hall 'P 1'
_cell_length_a 9.309
_cell_length_b 8.456
_cell_length_c 6.289
_cell_angle_alpha 47.73
_cell_angle_beta 42.24
_cell_angle_gamma 56.63
loop_
_atom_site_label
_atom_site_type_symbol
_atom_site_fract_x
_atom_site_fract_y
_atom_site_fract_z
_atom_site_occupancy
Tb1 Tb 0.044 0.431 0.763 1
Tb2 Tb 0.762 0.956 0.713 1
Tb3 Tb 0.569 0.238 0.148 1
Tb4 Tb 0.238 0.044 0.287 1
Tb5 Tb 0.956 0.569 0.237 1
Tb6 Tb 0.431 0.762 0.852 1
Dy1 Dy 0.500 0.500 0.500 1
Ag1 Ag 0.000 0.000 0.000 1
```

- calculated formation energy (eV per atom) = 0.0424
- space-group type = R-3 (148)
- energy (Ha/atom) = -0.160

No. 5
A plane-wave DFT calculation with PBE was carried out for a relaxed Ce3TeSe2 crystal.

```
data_Ce3TeSe2
_chemical_formula_sum 'Ce6 Te2 Se4'
_space_group_name_H-M_alt 'P 1'
_space_group_IT_number 1
_space_group_name_Hall 'P 1'
_cell_length_a 4.901
_cell_length_b 7.377
_cell_length_c 9.998
_cell_angle_alpha 90.00
_cell_angle_beta 90.00
_cell_angle_gamma 109.40
loop_
_atom_site_label
_atom_site_type_symbol
_atom_site_fract_x
_atom_site_fract_y
_atom_site_fract_z
_atom_site_occupancy
Ce1 Ce 0.633 0.266 0.039 1
Ce2 Ce 0.117 0.235 0.750 1
Ce3 Ce 0.633 0.266 0.461 1
Ce4 Ce 0.883 0.765 0.250 1
Ce5 Ce 0.367 0.734 0.961 1
Ce6 Ce 0.367 0.734 0.539 1
Te1 Te 0.224 0.447 0.250 1
Te2 Te 0.776 0.553 0.750 1
Se1 Se 0.000 0.000 0.000 1
Se2 Se 0.000 0.000 0.500 1
Se3 Se 0.487 0.974 0.250 1
Se4 Se 0.513 0.026 0.750 1
```

- formation energy from raw total energies (meV per atom) = -1343
- space-group type = Cmcm (63)
- energy (Ha/atom) = -0.220

No. 6
A plane-wave DFT calculation with PBE was carried out for a relaxed HoCu3Pd4O12 crystal.

```
data_HoCu3Pd4O12
_chemical_formula_sum 'Ho1 Cu3 Pd4 O12'
_space_group_name_H-M_alt 'P 1'
_space_group_IT_number 1
_space_group_name_Hall 'P 1'
_cell_length_a 6.575
_cell_length_b 6.575
_cell_length_c 6.575
_cell_angle_alpha 109.47
_cell_angle_beta 109.47
_cell_angle_gamma 109.47
loop_
_atom_site_label
_atom_site_type_symbol
_atom_site_fract_x
_atom_site_fract_y
_atom_site_fract_z
_atom_site_occupancy
Ho1 Ho 0.000 0.000 0.000 1
Cu1 Cu 0.000 0.500 0.500 1
Cu2 Cu 0.500 0.500 0.000 1
Cu3 Cu 0.500 0.000 0.500 1
Pd1 Pd 0.500 0.000 0.000 1
Pd2 Pd 0.500 0.500 0.500 1
Pd3 Pd 0.000 0.500 0.000 1
Pd4 Pd 0.000 0.000 0.500 1
O1 O 0.303 0.840 0.143 1
O2 O 0.697 0.160 0.857 1
O3 O 0.697 0.840 0.537 1
O4 O 0.857 0.697 0.160 1
O5 O 0.840 0.143 0.303 1
O6 O 0.160 0.463 0.303 1
O7 O 0.463 0.303 0.160 1
O8 O 0.160 0.857 0.697 1
O9 O 0.303 0.160 0.463 1
O10 O 0.143 0.303 0.840 1
O11 O 0.840 0.537 0.697 1
O12 O 0.537 0.697 0.840 1
```

- formation energy from raw total energies (meV per atom) = -793
- space-group type = Im-3 (204)
- energy (Ha/atom) = -0.208

Please write out number 4 again, unchanged.
A plane-wave DFT calculation with PBE was carried out for a relaxed Tb6DyAg crystal.

```
data_Tb6DyAg
_chemical_formula_sum 'Tb6 Dy1 Ag1'
_space_group_name_H-M_alt 'P 1'
_space_group_IT_number 1
_space_group_name_Hall 'P 1'
_cell_length_a 9.309
_cell_length_b 8.456
_cell_length_c 6.289
_cell_angle_alpha 47.73
_cell_angle_beta 42.24
_cell_angle_gamma 56.63
loop_
_atom_site_label
_atom_site_type_symbol
_atom_site_fract_x
_atom_site_fract_y
_atom_site_fract_z
_atom_site_occupancy
Tb1 Tb 0.044 0.431 0.763 1
Tb2 Tb 0.762 0.956 0.713 1
Tb3 Tb 0.569 0.238 0.148 1
Tb4 Tb 0.238 0.044 0.287 1
Tb5 Tb 0.956 0.569 0.237 1
Tb6 Tb 0.431 0.762 0.852 1
Dy1 Dy 0.500 0.500 0.500 1
Ag1 Ag 0.000 0.000 0.000 1
```

- calculated formation energy (eV per atom) = 0.0424
- space-group type = R-3 (148)
- energy (Ha/atom) = -0.160

- Which of these has the highest energy?
  Tb6DyAg

Repeat the third record exactly.
A plane-wave DFT calculation with PBE was carried out for a relaxed LuHN crystal.

```
data_LuHN
_chemical_formula_sum 'Lu4 H4 N4'
_space_group_name_H-M_alt 'P 1'
_space_group_IT_number 1
_space_group_name_Hall 'P 1'
_cell_length_a 4.300
_cell_length_b 4.300
_cell_length_c 8.467
_cell_angle_alpha 90.00
_cell_angle_beta 90.00
_cell_angle_gamma 90.86
loop_
_atom_site_label
_atom_site_type_symbol
_atom_site_fract_x
_atom_site_fract_y
_atom_site_fract_z
_atom_site_occupancy
H1 H 0.125 0.125 0.323 1
H2 H 0.625 0.625 0.177 1
H3 H 0.375 0.375 0.823 1
H4 H 0.875 0.875 0.677 1
Lu1 Lu 0.257 0.257 0.076 1
Lu2 Lu 0.243 0.243 0.576 1
Lu3 Lu 0.743 0.743 0.924 1
Lu4 Lu 0.757 0.757 0.424 1
N1 N 0.250 0.750 0.000 1
N2 N 0.750 0.250 0.000 1
N3 N 0.750 0.250 0.500 1
N4 N 0.250 0.750 0.500 1
```

- space-group type = Cmce (64)
- energy (Ha/atom) = -0.217

- energy of number 6 (HoCu3Pd4O12)?
  -0.208 Ha/atom